No. 1
A relaxed structure of YMnAsN2, computed with PBE.

Cell lengths 4.344, 5.834, 4.344 Å; angles 90.00, 90.00, 90.00 degrees
Site moments in Bohr magnetons follow the coordinates.
Fractional coordinates of all 5 atoms:
Mn1 0.500 0.500 0.500  4.39
Y1 0.000 0.000 0.000  0.12
N1 0.500 0.000 0.000  0.82
As1 0.000 0.500 0.000  0.01
N2 0.000 0.000 0.500  1.26

Output
As for the uncorrected formation energy: 1.08 eV/atom. The density of states at the Fermi level is 4.1 states/eV/cell.



No. 2
A relaxed structure of ZrMnAsN2, computed with PBE.

Cell lengths 4.112, 5.658, 4.112 Å; angles 90.00, 90.00, 90.00 degrees
Site moments in Bohr magnetons follow the coordinates.
Fractional coordinates of all 5 atoms:
Mn1 0.500 0.500 0.500  4.30
Zr1 0.000 0.000 0.000  0.02
N1 0.500 0.000 0.000  -0.24
N2 0.000 0.000 0.500  -0.41
As1 0.000 0.500 0.000  -0.21

Output
As for the uncorrected formation energy: 0.61 eV/atom. The density of states at the Fermi level is 3.9 states/eV/cell.



No. 3
A relaxed structure of Na3MnAs, computed with PBE.

Cell lengths 5.555, 5.555, 5.555 Å; angles 90.00, 90.00, 90.00 degrees
Site moments in Bohr magnetons follow the coordinates.
Fractional coordinates of all 5 atoms:
Na1 0.000 0.500 0.000  0.00
Na2 0.500 0.000 0.000  0.00
As1 0.000 0.000 0.000  0.08
Na3 0.000 0.000 0.500  0.00
Mn1 0.500 0.500 0.500  4.50

Output
Its formation energy is 0.37 eV/atom. For the energy above the most stable polymorph in this dataset, the calculation gives 0.000 eV per atom. The density of states at the Fermi level is 3.0 states/eV/cell.